Material: Y5Sb
Method: DFT, PBE
State: optimized geometry

Cell: 9.165 9.165 9.165 Å, 90.00 90.00 90.00°
Space group F-43m (No. 216)
Inequivalent atoms, fractional coordinates:
Y (0.000, 0.000, 0.000)
Y (0.126, 0.126, 0.626)
Sb (0.250, 0.250, 0.250)

Summary:
Spin magnetization = 0.3516 μB/atom
Formation energy from raw total energies = 155 meV/atom
Crystal system = cubic

Material: ErNbTcNi
Method: DFT, PBE
State: optimized geometry

Cell: 6.493 6.493 6.493 Å, 90.00 90.00 90.00°
Space group F-43m (No. 216)
Inequivalent atoms, fractional coordinates:
Er (0.000, 0.000, 0.000)
Nb (0.000, 0.000, 0.500)
Tc (0.250, 0.250, 0.250)
Ni (0.250, 0.250, 0.750)

Summary:
ΔH_f (0 K) = -0.1366 eV per atom
Spin magnetization = 0.0000 μB/atom
Crystal system = cubic

The evaluated total energy for the records listed, in turn: -142.06; -125.31 eV/cell.